[1]
# PBE TbPrSm2Dy5, relaxed
# Formation enthalpy at 0 K   0.267 eV per atom
# Uncorrected energy   -4.38 eV per atom
# Spin magnetization   0.0 μB per cell
data_TbPrSm2Dy5
_space_group_name_H-M_alt 'I 4/m c m'
_space_group_IT_number 140
_space_group_name_Hall '-I 4 2c'
_cell_length_a 8.787
_cell_length_b 8.787
_cell_length_c 15.338
_cell_angle_alpha 90.00
_cell_angle_beta 90.00
_cell_angle_gamma 90.00
loop_
_atom_site_label
_atom_site_type_symbol
_atom_site_fract_x
_atom_site_fract_y
_atom_site_fract_z
Tb1 Tb 0.000 0.500 0.250
Pr1 Pr 0.000 0.000 0.250
Sm1 Sm 0.116 0.384 0.000
Dy1 Dy 0.000 0.000 0.000
Dy2 Dy 0.208 0.292 0.364


[2]
# PBE Tb4Pr2SmDy2, relaxed
# Formation enthalpy at 0 K   0.016 eV per atom
# Uncorrected energy   -4.65 eV per atom
# Spin magnetization   0.0 μB per cell
data_Tb4Pr2SmDy2
_space_group_name_H-M_alt 'P -1'
_space_group_IT_number 2
_space_group_name_Hall '-P 1'
_cell_length_a 6.222
_cell_length_b 6.230
_cell_length_c 8.049
_cell_angle_alpha 82.57
_cell_angle_beta 75.19
_cell_angle_gamma 80.44
loop_
_atom_site_label
_atom_site_type_symbol
_atom_site_fract_x
_atom_site_fract_y
_atom_site_fract_z
Tb1 Tb 0.057 0.111 0.279
Tb2 Tb 0.277 0.555 0.388
Pr1 Pr 0.167 0.332 0.833
Sm1 Sm 0.500 0.000 0.500
Dy1 Dy 0.391 0.777 0.945


[3]
# PBE Tb3Pr2Sm6Dy, relaxed
# Formation enthalpy at 0 K   0.015 eV per atom
# Uncorrected energy   -4.68 eV per atom
# Spin magnetization   0.0 μB per cell
data_Tb3Pr2Sm6Dy
_space_group_name_H-M_alt 'C 1 2/m 1'
_space_group_IT_number 12
_space_group_name_Hall '-C 2y'
_cell_length_a 6.270
_cell_length_b 10.857
_cell_length_c 12.005
_cell_angle_alpha 90.00
_cell_angle_beta 100.03
_cell_angle_gamma 90.00
loop_
_atom_site_label
_atom_site_type_symbol
_atom_site_fract_x
_atom_site_fract_y
_atom_site_fract_z
Tb1 Tb 0.000 0.000 0.000
Tb2 Tb 0.000 0.334 0.000
Pr1 Pr 0.000 0.167 0.500
Sm1 Sm 0.248 0.500 0.247
Sm2 Sm 0.250 0.166 0.247
Dy1 Dy 0.000 0.500 0.500


[4]
# PBE Tb6PrSm2Dy, relaxed
# Formation enthalpy at 0 K   0.117 eV per atom
# Uncorrected energy   -4.54 eV per atom
# Spin magnetization   0.0 μB per cell
data_Tb6PrSm2Dy
_space_group_name_H-M_alt 'C 1 2/c 1'
_space_group_IT_number 15
_space_group_name_Hall '-C 2yc'
_cell_length_a 9.106
_cell_length_b 15.135
_cell_length_c 9.704
_cell_angle_alpha 90.00
_cell_angle_beta 98.11
_cell_angle_gamma 90.00
loop_
_atom_site_label
_atom_site_type_symbol
_atom_site_fract_x
_atom_site_fract_y
_atom_site_fract_z
Tb1 Tb 0.067 0.189 0.443
Tb2 Tb 0.099 0.393 0.620
Tb3 Tb 0.206 0.225 0.815
Pr1 Pr 0.000 0.021 0.750
Sm1 Sm 0.248 0.051 0.044
Dy1 Dy 0.000 0.408 0.250


[5]
# PBE Tb5Pr2SmDy, relaxed
# Formation enthalpy at 0 K   0.265 eV per atom
# Uncorrected energy   -4.40 eV per atom
# Spin magnetization   0.0 μB per cell
data_Tb5Pr2SmDy
_space_group_name_H-M_alt 'I 4/m c m'
_space_group_IT_number 140
_space_group_name_Hall '-I 4 2c'
_cell_length_a 8.701
_cell_length_b 8.701
_cell_length_c 15.830
_cell_angle_alpha 90.00
_cell_angle_beta 90.00
_cell_angle_gamma 90.00
loop_
_atom_site_label
_atom_site_type_symbol
_atom_site_fract_x
_atom_site_fract_y
_atom_site_fract_z
Tb1 Tb 0.000 0.000 0.000
Tb2 Tb 0.212 0.288 0.140
Pr1 Pr 0.119 0.381 0.500
Sm1 Sm 0.000 0.000 0.250
Dy1 Dy 0.000 0.500 0.250


[6]
# PBE Pr3Sm2DyTe6, relaxed
# Uncorrected energy   -5.33 eV per atom
# Spin magnetization   0.0 μB per cell
# Energy relative to the elements, uncorrected   -1.397 eV/atom
data_Pr3Sm2DyTe6
_space_group_name_H-M_alt 'C 1 2/m 1'
_space_group_IT_number 12
_space_group_name_Hall '-C 2y'
_cell_length_a 19.531
_cell_length_b 4.437
_cell_length_c 9.022
_cell_angle_alpha 90.00
_cell_angle_beta 103.74
_cell_angle_gamma 90.00
loop_
_atom_site_label
_atom_site_type_symbol
_atom_site_fract_x
_atom_site_fract_y
_atom_site_fract_z
Pr1 Pr 0.000 0.000 0.000
Pr2 Pr 0.169 0.500 0.334
Sm1 Sm 0.168 0.500 0.835
Dy1 Dy 0.000 0.000 0.500
Te1 Te 0.001 0.500 0.740
Te2 Te 0.162 0.000 0.586
Te3 Te 0.167 0.000 0.079


[7]
# PBE Pr2SmDyTe5, relaxed
# Uncorrected energy   -4.62 eV per atom
# Spin magnetization   0.7 μB per cell
# Energy relative to the elements, uncorrected   -0.772 eV/atom
data_Pr2SmDyTe5
_space_group_name_H-M_alt 'P 4/m m m'
_space_group_IT_number 123
_space_group_name_Hall '-P 4 2'
_cell_length_a 5.642
_cell_length_b 5.642
_cell_length_c 11.650
_cell_angle_alpha 90.00
_cell_angle_beta 90.00
_cell_angle_gamma 90.00
loop_
_atom_site_label
_atom_site_type_symbol
_atom_site_fract_x
_atom_site_fract_y
_atom_site_fract_z
Pr1 Pr 0.000 0.000 0.161
Sm1 Sm 0.500 0.500 0.000
Dy1 Dy 0.500 0.500 0.500
Te1 Te 0.000 0.000 0.500
Te2 Te 0.000 0.500 0.000
Te3 Te 0.500 0.500 0.257


[8]
# PBE Pr2Sm3DyTe6, relaxed
# Uncorrected energy   -5.32 eV per atom
# Spin magnetization   0.0 μB per cell
# Energy relative to the elements, uncorrected   -1.385 eV/atom
data_Pr2Sm3DyTe6
_space_group_name_H-M_alt 'C 1 2/m 1'
_space_group_IT_number 12
_space_group_name_Hall '-C 2y'
_cell_length_a 19.422
_cell_length_b 4.430
_cell_length_c 8.971
_cell_angle_alpha 90.00
_cell_angle_beta 102.87
_cell_angle_gamma 90.00
loop_
_atom_site_label
_atom_site_type_symbol
_atom_site_fract_x
_atom_site_fract_y
_atom_site_fract_z
Pr1 Pr 0.170 0.000 0.336
Sm1 Sm 0.000 0.500 0.500
Sm2 Sm 0.173 0.000 0.835
Dy1 Dy 0.000 0.500 0.000
Te1 Te 0.003 0.000 0.757
Te2 Te 0.162 0.500 0.076
Te3 Te 0.164 0.500 0.587


Which formula does entry 2 have?
Tb4Pr2SmDy2


Repeat the first record exactly.
# PBE TbPrSm2Dy5, relaxed
# Formation enthalpy at 0 K   0.267 eV per atom
# Uncorrected energy   -4.38 eV per atom
# Spin magnetization   0.0 μB per cell
data_TbPrSm2Dy5
_space_group_name_H-M_alt 'I 4/m c m'
_space_group_IT_number 140
_space_group_name_Hall '-I 4 2c'
_cell_length_a 8.787
_cell_length_b 8.787
_cell_length_c 15.338
_cell_angle_alpha 90.00
_cell_angle_beta 90.00
_cell_angle_gamma 90.00
loop_
_atom_site_label
_atom_site_type_symbol
_atom_site_fract_x
_atom_site_fract_y
_atom_site_fract_z
Tb1 Tb 0.000 0.500 0.250
Pr1 Pr 0.000 0.000 0.250
Sm1 Sm 0.116 0.384 0.000
Dy1 Dy 0.000 0.000 0.000
Dy2 Dy 0.208 0.292 0.364


Please write out number 8 again, unchanged.
# PBE Pr2Sm3DyTe6, relaxed
# Uncorrected energy   -5.32 eV per atom
# Spin magnetization   0.0 μB per cell
# Energy relative to the elements, uncorrected   -1.385 eV/atom
data_Pr2Sm3DyTe6
_space_group_name_H-M_alt 'C 1 2/m 1'
_space_group_IT_number 12
_space_group_name_Hall '-C 2y'
_cell_length_a 19.422
_cell_length_b 4.430
_cell_length_c 8.971
_cell_angle_alpha 90.00
_cell_angle_beta 102.87
_cell_angle_gamma 90.00
loop_
_atom_site_label
_atom_site_type_symbol
_atom_site_fract_x
_atom_site_fract_y
_atom_site_fract_z
Pr1 Pr 0.170 0.000 0.336
Sm1 Sm 0.000 0.500 0.500
Sm2 Sm 0.173 0.000 0.835
Dy1 Dy 0.000 0.500 0.000
Te1 Te 0.003 0.000 0.757
Te2 Te 0.162 0.500 0.076
Te3 Te 0.164 0.500 0.587